The following is a DFT calculation (PBE-GGA) of a relaxed Dy5HfZn6 crystal.

Computed properties:
The formation enthalpy at 0 K comes out at -289 meV per atom. The total energy comes out at -3.673 eV per atom.

abc: 15.7725 7.0297 4.9634
angles: 90.00 108.27 90.00
Closest atoms and distances in Å follow each position.
Space group C2/m (No. 12)
Inequivalent atoms, fractional coordinates:
1 Dy 0.0000 0.0000 0.0000 (multiplicity 2)  8 Zn 3.02-3.16
2 Dy 0.1631 0.0000 0.6629 (multiplicity 4)  8 Zn 3.11-3.14
3 Dy 0.1735 0.5000 0.6734 (multiplicity 4)  8 Zn 2.99-3.13
4 Hf 0.0000 0.5000 0.0000 (multiplicity 2)  8 Zn 2.89-2.93
5 Zn 0.0000 0.2794 0.5000 (multiplicity 4)  2 Hf 2.93, 6 Dy 3.03-3.16, 1 Zn 3.10
6 Zn 0.1588 0.2656 0.1588 (multiplicity 8)  1 Hf 2.89, 7 Dy 2.99-3.14



The following is a DFT calculation (PBE-GGA) of a relaxed Dy3HfZn4 crystal.

Computed properties:
The formation enthalpy at 0 K comes out at -279 meV per atom. The total energy comes out at -3.886 eV per atom.

abc: 3.4880 3.4880 14.0828
angles: 90.00 90.00 90.00
Closest atoms and distances in Å follow each position.
Space group P4/mmm (No. 123)
Inequivalent atoms, fractional coordinates:
1 Dy 0.0000 0.0000 0.0000 (multiplicity 1)  8 Zn 3.06
2 Dy 0.0000 0.0000 0.2598 (multiplicity 2)  8 Zn 3.08-3.11, 1 Hf 3.38
3 Hf 0.0000 0.0000 0.5000 (multiplicity 1)  8 Zn 2.88
4 Zn 0.5000 0.5000 0.1292 (multiplicity 2)  8 Dy 3.06-3.08
5 Zn 0.5000 0.5000 0.3940 (multiplicity 2)  4 Hf 2.88, 1 Zn 2.98, 4 Dy 3.11



The following is a DFT calculation (PBE-GGA) of a relaxed Dy2HfZn crystal.

Computed properties:
The formation enthalpy at 0 K comes out at -89 meV per atom. The total energy comes out at -5.197 eV per atom. As for the energy above the most stable polymorph in this dataset: 0 meV per atom.

abc: 3.3881 3.3881 8.5484
angles: 90.00 90.00 90.00
Closest atoms and distances in Å follow each position.
Space group P4/mmm (No. 123)
Inequivalent atoms, fractional coordinates:
1 Dy 0.0000 0.0000 0.2310 (multiplicity 2)  4 Zn 3.10, 4 Hf 3.32, 4 Dy 3.39
2 Hf 0.5000 0.5000 0.5000 (multiplicity 1)  8 Dy 3.32, 4 Hf 3.39
3 Zn 0.5000 0.5000 0.0000 (multiplicity 1)  8 Dy 3.10, 4 Zn 3.39



The following is a DFT calculation (PBE-GGA) of a relaxed DyHf2Zn6 crystal.

Computed properties:
The formation enthalpy at 0 K comes out at -251 meV per atom. The total energy comes out at -3.824 eV per atom.

abc: 7.6168 7.6168 3.1903
angles: 90.00 90.00 120.00
Closest atoms and distances in Å follow each position.
Space group P6/mmm (No. 191)
Inequivalent atoms, fractional coordinates:
1 Dy 0.0000 0.0000 0.0000 (multiplicity 1)  12 Zn 3.03, 2 Dy 3.19
2 Hf 0.3333 0.6667 0.0000 (multiplicity 2)  12 Zn 2.98, 2 Hf 3.19
3 Zn 0.0000 0.3387 0.5000 (multiplicity 6)  3 Zn 2.46-2.58



The following is a DFT calculation (PBE-GGA) of a relaxed DyHfZn2 crystal.

Computed properties:
The formation enthalpy at 0 K comes out at -184 meV per atom. The total energy comes out at -4.459 eV per atom. As for the energy above the most stable polymorph in this dataset: 53 meV per atom.

abc: 6.8629 6.8629 6.8629
angles: 90.00 90.00 90.00
Closest atoms and distances in Å follow each position.
Space group Fm-3m (No. 225)
Inequivalent atoms, fractional coordinates:
1 Dy 0.0000 0.0000 0.0000 (multiplicity 4)  8 Zn 2.97
2 Hf 0.0000 0.0000 0.5000 (multiplicity 4)  8 Zn 2.97
3 Zn 0.2500 0.2500 0.2500 (multiplicity 8)  4 Hf 2.97, 4 Dy 2.97



The following is a DFT calculation (PBE-GGA) of a relaxed DyHfZn4 crystal.

Computed properties:
The formation enthalpy at 0 K comes out at -275 meV per atom. The total energy comes out at -3.550 eV per atom. As for the energy above the most stable polymorph in this dataset: 0 meV per atom.

abc: 3.2445 4.4185 7.6656
angles: 90.00 90.00 90.00
Closest atoms and distances in Å follow each position.
Space group Pmmm (No. 47)
Inequivalent atoms, fractional coordinates:
1 Dy 0.0000 0.0000 0.0000 (multiplicity 1)  12 Zn 3.06-3.07, 2 Dy 3.24
2 Hf 0.0000 0.5000 0.5000 (multiplicity 1)  12 Zn 2.96-3.00, 2 Hf 3.24
3 Zn 0.5000 0.0000 0.3402 (multiplicity 2)  3 Zn 2.45-2.54
4 Zn 0.5000 0.5000 0.1764 (multiplicity 2)  3 Zn 2.54-2.71



The following is a DFT calculation (PBE-GGA) of a relaxed DyHf2Zn crystal.

Computed properties:
The formation enthalpy at 0 K comes out at 295 meV per atom. The total energy comes out at -6.150 eV per atom.

abc: 3.1391 3.1391 32.5244
angles: 90.00 90.00 120.00
Closest atoms and distances in Å follow each position.
Space group R-3m (No. 166, hexagonal axes)
Inequivalent atoms, fractional coordinates:
1 Dy 0.0000 0.0000 0.0000 (multiplicity 3)  6 Dy 3.14, 2 Hf 3.20
2 Hf 0.0000 0.0000 0.0983 (multiplicity 6)  3 Zn 2.87, 6 Hf 3.14, 1 Dy 3.20
3 Zn 0.0000 0.0000 0.5000 (multiplicity 3)  6 Hf 2.87, 6 Zn 3.14



The following is a DFT calculation (PBE-GGA) of a relaxed DyHf2Zr crystal.

Computed properties:
The formation enthalpy at 0 K comes out at 134 meV per atom. The total energy comes out at -8.131 eV per atom. As for the energy above the most stable polymorph in this dataset: 20 meV per atom.

abc: 3.2412 3.2412 32.0740
angles: 90.00 90.00 120.00
Closest atoms and distances in Å follow each position.
Space group R-3m (No. 166, hexagonal axes)
Inequivalent atoms, fractional coordinates:
1 Dy 0.0000 0.0000 0.0000 (multiplicity 3)  6 Dy 3.24, 6 Hf 3.37
2 Hf 0.0000 0.0000 0.2458 (multiplicity 6)  3 Zr 3.15, 6 Hf 3.24, 3 Dy 3.37
3 Zr 0.0000 0.0000 0.5000 (multiplicity 3)  6 Hf 3.15, 6 Zr 3.24



The following is a DFT calculation (PBE-GGA) of a relaxed DyHf2Zr crystal.

Computed properties:
The formation enthalpy at 0 K comes out at 114 meV per atom. The total energy comes out at -8.150 eV per atom. As for the energy above the most stable polymorph in this dataset: 0 meV per atom.

abc: 3.2670 3.2670 31.6748
angles: 90.00 90.00 120.00
Closest atoms and distances in Å follow each position.
Space group R3m (No. 160, hexagonal axes)
Inequivalent atoms, fractional coordinates:
1 Dy 0.0000 0.0000 0.0000 (multiplicity 3)  6 Dy 3.27, 6 Hf 3.34-3.36
2 Hf 0.0000 0.0000 0.2457 (multiplicity 3)  3 Zr 3.13, 6 Hf 3.27, 3 Dy 3.36
3 Hf 0.0000 0.0000 0.4205 (multiplicity 3)  3 Zr 3.15, 6 Hf 3.27, 3 Dy 3.34
4 Zr 0.0000 0.0000 0.8333 (multiplicity 3)  6 Hf 3.13-3.15, 6 Zr 3.27



The following is a DFT calculation (PBE-GGA) of a relaxed DyHfZr crystal.

Computed properties:
The formation enthalpy at 0 K comes out at 171 meV per atom. The total energy comes out at -7.531 eV per atom. As for the energy above the most stable polymorph in this dataset: 59 meV per atom.

abc: 5.1571 5.1571 3.2241
angles: 90.00 90.00 120.00
Closest atoms and distances in Å follow each position.
Space group P-6m2 (No. 187)
Inequivalent atoms, fractional coordinates:
1 Dy 0.0000 0.0000 0.0000 (multiplicity 1)  3 Hf 2.98, 2 Dy 3.22
2 Hf 0.3333 0.6667 0.0000 (multiplicity 1)  3 Dy 2.98, 2 Hf 3.22
3 Zr 0.6667 0.3333 0.5000 (multiplicity 1)  2 Zr 3.22, 6 Dy 3.39, 6 Hf 3.39



The following is a DFT calculation (PBE-GGA) of a relaxed DyHf2Zr crystal.

Computed properties:
The formation enthalpy at 0 K comes out at 158 meV per atom. The total energy comes out at -8.106 eV per atom. As for the energy above the most stable polymorph in this dataset: 44 meV per atom.

abc: 4.5905 4.5905 4.6094
angles: 90.00 90.00 90.00
Closest atoms and distances in Å follow each position.
Space group P4/mmm (No. 123)
Inequivalent atoms, fractional coordinates:
1 Dy 0.0000 0.0000 0.0000 (multiplicity 1)  4 Zr 3.25, 8 Hf 3.25
2 Hf 0.0000 0.5000 0.5000 (multiplicity 2)  4 Hf 3.25, 4 Zr 3.25, 4 Dy 3.25
3 Zr 0.5000 0.5000 0.0000 (multiplicity 1)  4 Dy 3.25, 8 Hf 3.25



The following is a DFT calculation (PBE-GGA) of a relaxed DyHf2Zr crystal.

Computed properties:
The formation enthalpy at 0 K comes out at 151 meV per atom. The total energy comes out at -8.113 eV per atom. As for the energy above the most stable polymorph in this dataset: 37 meV per atom.

abc: 3.7634 3.7634 6.9508
angles: 90.00 90.00 90.00
Closest atoms and distances in Å follow each position.
Space group P4/mmm (No. 123)
Inequivalent atoms, fractional coordinates:
1 Dy 0.0000 0.0000 0.0000 (multiplicity 1)  8 Hf 3.33, 2 Zr 3.48
2 Hf 0.5000 0.5000 0.2874 (multiplicity 2)  1 Hf 2.96, 4 Zr 3.04
3 Zr 0.0000 0.0000 0.5000 (multiplicity 1)  8 Hf 3.04



Which of these has the lowest formation enthalpy at 0 K?
Dy5HfZn6



The lowest formation enthalpy at 0 K belongs to which entry?
Dy5HfZn6



Which of these has the lowest formation enthalpy at 0 K?
Dy5HfZn6



What is the formation enthalpy at 0 K in the fourth record?
-251 meV per atom